# 1
Sn3BiSe after structural relaxation. Source: Alexandria, functional PBE.

The structure belongs to space group Pm-3m (No. 221); the cell edges are 5.894, 5.894 and 5.894 Å and the angles 90.00°, 90.00° and 90.00°. The inequivalent atoms are Sn at (0.000, 0.000, 0.500), Bi at (0.000, 0.000, 0.000) and Se at (0.500, 0.500, 0.500).

For the density of states at the Fermi level, the calculation gives 0.628 states/eV/atom. The distance to the lowest polymorph of the same formula is 514 meV/atom. As for the formation energy without anion corrections: 782.7 meV per atom.



# 2
SnBi2Se2 after structural relaxation. Source: Alexandria, functional PBE.

The structure belongs to space group P4/mbm (No. 127); the cell edges are 8.593, 8.593 and 3.825 Å and the angles 90.00°, 90.00° and 90.00°. The inequivalent atoms are Sn at (0.000, 0.000, 0.000), Bi at (0.180, 0.320, 0.500) and Se at (0.145, 0.645, 0.000).

For the density of states at the Fermi level, the calculation gives 0.666 states/eV/atom. The distance to the lowest polymorph of the same formula is 21 meV/atom. As for the formation energy without anion corrections: -21.1 meV per atom.



# 3
Sn2BiSe2 after structural relaxation. Source: Alexandria, functional PBE.

The structure belongs to space group I4/mmm (No. 139); the cell edges are 5.729, 5.729 and 9.216 Å and the angles 90.00°, 90.00° and 90.00°. The inequivalent atoms are Sn at (0.000, 0.500, 0.250), Bi at (0.000, 0.000, 0.000) and Se at (0.000, 0.000, 0.323).

For the density of states at the Fermi level, the calculation gives 0.663 states/eV/atom. The distance to the lowest polymorph of the same formula is 33 meV/atom. As for the formation energy without anion corrections: -65.0 meV per atom.



# 4
Sn2BiSe after structural relaxation. Source: Alexandria, functional PBE.

The structure belongs to space group Fm-3m (No. 225); the cell edges are 7.574, 7.574 and 7.574 Å and the angles 90.00°, 90.00° and 90.00°. The inequivalent atoms are Sn at (0.250, 0.250, 0.250), Bi at (0.000, 0.000, 0.000) and Se at (0.000, 0.000, 0.500).

For the density of states at the Fermi level, the calculation gives 0.816 states/eV/atom. The distance to the lowest polymorph of the same formula is 120 meV/atom. As for the formation energy without anion corrections: 31.8 meV per atom.